(1)
Here is a geometry-optimized LiBeMo2 structure from Alexandria via LeMat-Bulk. Energies are from PBE-GGA.

Electronic total energy, eV for the cell shown: -26.24
ΔE_f, eV/atom: 0.266
D(E_F), states/eV per atom: 0.5705
Total magnetization, μB/f.u.: 0.00
Distance to the lowest polymorph of the same formula, eV/atom: 0.033

a = 4.193 Å, b = 2.634 Å, c = 4.914 Å
α = 83.53°, β = 90.00°, γ = 90.00°
Positions (direct):
Be: 0.000 0.629 0.490
Li: 0.500 0.639 0.753
Mo: 0.000 0.016 0.990
Mo: 0.500 0.216 0.267

***

(2)
Here is a geometry-optimized TcBi2Au structure from Alexandria via LeMat-Bulk. Energies are from PBE-GGA.

Electronic total energy, eV for the cell shown: -18.09
ΔE_f, eV/atom: 0.828
D(E_F), states/eV per atom: 0.8120
Total magnetization, μB/f.u.: 1.53
Distance to the lowest polymorph of the same formula, eV/atom: 0.279

a = 3.174 Å, b = 3.174 Å, c = 11.174 Å
α = 81.84°, β = 81.84°, γ = 60.00°
Last column: magnetic moment on the atom in μB.
Positions (direct):
Au: 0.500 0.500 0.500  0.00
Bi: 0.085 0.085 0.746  0.01
Bi: 0.915 0.915 0.254  0.01
Tc: 0.000 0.000 0.000  1.34

***

(3)
Here is a geometry-optimized AcHf2SiO8 structure from Alexandria via LeMat-Bulk. Energies are from PBE-GGA.

Electronic total energy, eV for the cell shown: -104.01
D(E_F), states/eV per atom: 0.5054
Total magnetization, μB/f.u.: 0.60

a = 4.805 Å, b = 4.806 Å, c = 6.731 Å
α = 90.00°, β = 90.00°, γ = 86.06°
Last column: magnetic moment on the atom in μB.
Positions (direct):
Ac: 0.000 0.000 0.500  0.01
Hf: 0.500 0.500 0.770  -0.02
Hf: 0.500 0.500 0.230  -0.02
Si: 0.000 0.000 0.000  -0.01
O: 0.191 0.809 0.186  0.06
O: 0.712 0.712 0.000  0.14
O: 0.809 0.191 0.186  0.06
O: 0.809 0.191 0.814  0.06
O: 0.288 0.288 0.000  0.14
O: 0.191 0.809 0.814  0.06
O: 0.663 0.665 0.500  0.01
O: 0.337 0.335 0.500  0.01

***

(4)
Here is a geometry-optimized PdRu2Rh4 structure from Alexandria via LeMat-Bulk. Energies are from PBE-GGA.

Electronic total energy, eV for the cell shown: -53.01
ΔE_f, eV/atom: 0.020
D(E_F), states/eV per atom: 0.8307
Total magnetization, μB/f.u.: 0.00

a = 2.716 Å, b = 2.716 Å, c = 15.684 Å
α = 85.03°, β = 85.03°, γ = 60.00°
Positions (direct):
Pd: 0.000 0.000 0.000
Ru: 0.571 0.571 0.287
Ru: 0.429 0.429 0.713
Rh: 0.858 0.858 0.427
Rh: 0.716 0.716 0.851
Rh: 0.284 0.284 0.149
Rh: 0.142 0.142 0.573

***

(5)
Here is a geometry-optimized Be2Zn2As structure from Alexandria via LeMat-Bulk. Energies are from PBE-GGA.

Electronic total energy, eV for the cell shown: -12.78
ΔE_f, eV/atom: 0.374
D(E_F), states/eV per atom: 0.3611
Total magnetization, μB/f.u.: 0.00
Distance to the lowest polymorph of the same formula, eV/atom: 0.054

a = 3.464 Å, b = 3.464 Å, c = 6.320 Å
α = 74.10°, β = 74.10°, γ = 90.00°
Positions (direct):
Be: 0.750 0.250 0.500
Be: 0.250 0.750 0.500
As: 0.000 0.000 0.000
Zn: 0.390 0.390 0.219
Zn: 0.610 0.610 0.781

***

(6)
Here is a geometry-optimized CoMo2H6 structure from Alexandria via LeMat-Bulk. Energies are from PBE-GGA.

Electronic total energy, eV for the cell shown: -48.14
D(E_F), states/eV per atom: 0.4958
Total magnetization, μB/f.u.: 0.00

a = 3.105 Å, b = 4.251 Å, c = 5.195 Å
α = 114.15°, β = 107.46°, γ = 90.00°
Positions (direct):
Co: 0.000 0.000 0.000
Mo: 0.330 0.331 0.662
Mo: 0.670 0.669 0.338
H: 0.845 0.092 0.693
H: 0.155 0.398 0.307
H: 0.155 0.908 0.307
H: 0.500 0.215 0.000
H: 0.845 0.602 0.693
H: 0.500 0.785 0.000

***

(7)
Here is a geometry-optimized B2C structure from Alexandria via LeMat-Bulk. Energies are from PBE-GGA.

Electronic total energy, eV for the cell shown: -86.70
ΔE_f, eV/atom: 0.301
D(E_F), states/eV per atom: 0.1706
Total magnetization, μB/f.u.: 0.00
Distance to the lowest polymorph of the same formula, eV/atom: 0.116

a = 4.736 Å, b = 2.749 Å, c = 7.852 Å
α = 90.00°, β = 106.65°, γ = 90.00°
Positions (direct):
C: 0.265 0.000 0.986
C: 0.265 0.500 0.486
C: 0.802 0.000 0.554
C: 0.802 0.500 0.054
B: 0.417 0.000 0.491
B: 0.417 0.500 0.991
B: 0.940 0.000 0.988
B: 0.940 0.500 0.488
B: 0.678 0.000 0.350
B: 0.678 0.500 0.850
B: 0.724 0.000 0.730
B: 0.724 0.500 0.230

***

(8)
Here is a geometry-optimized SbS2ClF structure from Alexandria via LeMat-Bulk. Energies are from PBE-GGA.

Electronic total energy, eV for the cell shown: -14.34
D(E_F), states/eV per atom: 0.5367
Total magnetization, μB/f.u.: 0.00
Distance to the lowest polymorph of the same formula, eV/atom: 0.040

a = 4.253 Å, b = 4.253 Å, c = 5.344 Å
α = 90.00°, β = 90.00°, γ = 90.00°
Positions (direct):
Sb: 0.500 0.500 0.500
S: 0.000 0.500 0.000
S: 0.500 0.000 0.000
F: 0.000 0.000 0.000
Cl: 0.000 0.000 0.500

***

(9)
Here is a geometry-optimized Ga2NiN structure from Alexandria via LeMat-Bulk. Energies are from PBE-GGA.

Electronic total energy, eV for the cell shown: -39.60
D(E_F), states/eV per atom: 0.5680
Total magnetization, μB/f.u.: 0.00

a = 5.549 Å, b = 5.549 Å, c = 5.358 Å
α = 58.82°, β = 58.82°, γ = 90.00°
Positions (direct):
Ni: 0.000 0.000 0.000
Ni: 0.750 0.250 0.500
Ga: 0.564 0.125 0.250
Ga: 0.186 0.625 0.250
Ga: 0.375 0.436 0.750
Ga: 0.875 0.814 0.750
N: 0.500 0.500 0.000
N: 0.250 0.750 0.500

***

(10)
Here is a geometry-optimized LiLa5Se6 structure from Alexandria via LeMat-Bulk. Energies are from PBE-GGA.

Electronic total energy, eV for the cell shown: -70.35
D(E_F), states/eV per atom: 0.5074
Total magnetization, μB/f.u.: 0.00

a = 7.415 Å, b = 7.411 Å, c = 7.416 Å
α = 60.02°, β = 80.37°, γ = 70.44°
Positions (direct):
La: 0.500 0.168 0.665
La: 0.000 0.334 0.331
La: 0.500 0.500 0.000
La: 0.000 0.666 0.669
La: 0.500 0.832 0.335
Se: 0.757 0.080 0.323
Se: 0.243 0.597 0.323
Se: 0.243 0.240 0.000
Se: 0.757 0.760 0.000
Se: 0.757 0.403 0.677
Se: 0.243 0.920 0.677
Li: 0.000 0.000 0.000

***

(11)
Here is a geometry-optimized InIN2 structure from Alexandria via LeMat-Bulk. Energies are from PBE-GGA.

Electronic total energy, eV for the cell shown: -13.11
D(E_F), states/eV per atom: 0.5008
Total magnetization, μB/f.u.: 0.00
Distance to the lowest polymorph of the same formula, eV/atom: 2.093

a = 4.378 Å, b = 4.378 Å, c = 4.378 Å
α = 60.00°, β = 60.00°, γ = 60.00°
Positions (direct):
I: 0.500 0.500 0.500
N: 0.250 0.250 0.250
N: 0.750 0.750 0.750
In: 0.000 0.000 0.000

***

(12)
Here is a geometry-optimized Sm5ErTm4 structure from Alexandria via LeMat-Bulk. Energies are from PBE-GGA.

Electronic total energy, eV for the cell shown: -45.64
ΔE_f, eV/atom: 0.041
D(E_F), states/eV per atom: 1.4366
Total magnetization, μB/f.u.: 0.00
Distance to the lowest polymorph of the same formula, eV/atom: 0.000

a = 3.530 Å, b = 11.336 Å, c = 11.898 Å
α = 136.25°, β = 98.53°, γ = 90.00°
Positions (direct):
Sm: 0.211 0.306 0.422
Sm: 0.189 0.801 0.377
Sm: 0.811 0.199 0.623
Sm: 0.500 0.500 0.000
Sm: 0.789 0.694 0.578
Er: 0.500 0.000 0.000
Tm: 0.605 0.914 0.209
Tm: 0.081 0.369 0.163
Tm: 0.395 0.086 0.791
Tm: 0.919 0.631 0.837

***

(13)
Here is a geometry-optimized Hg3Bi2Te2Cl8 structure from Alexandria via LeMat-Bulk. Energies are from PBE-GGA.

Electronic total energy, eV for the cell shown: -81.23
D(E_F), states/eV per atom: 0.0000
Total magnetization, μB/f.u.: 0.00

a = 9.817 Å, b = 9.817 Å, c = 13.710 Å
α = 76.70°, β = 76.70°, γ = 47.01°
Positions (direct):
Hg: 0.500 0.000 0.000
Hg: 0.000 0.500 0.500
Hg: 0.261 0.236 0.745
Hg: 0.764 0.739 0.755
Hg: 0.739 0.764 0.255
Hg: 0.236 0.261 0.245
Bi: 0.194 0.727 0.938
Bi: 0.273 0.806 0.562
Bi: 0.806 0.273 0.062
Bi: 0.727 0.194 0.438
Te: 0.590 0.080 0.806
Te: 0.920 0.410 0.694
Te: 0.410 0.920 0.194
Te: 0.080 0.590 0.306
Cl: 0.424 0.375 0.035
Cl: 0.625 0.576 0.465
Cl: 0.576 0.625 0.965
Cl: 0.375 0.424 0.535
Cl: 0.173 0.625 0.778
Cl: 0.375 0.827 0.722
Cl: 0.827 0.375 0.222
Cl: 0.625 0.173 0.278
Cl: 0.936 0.721 0.024
Cl: 0.279 0.064 0.476
Cl: 0.064 0.279 0.976
Cl: 0.721 0.936 0.524
Cl: 0.106 0.892 0.113
Cl: 0.108 0.894 0.387
Cl: 0.894 0.108 0.887
Cl: 0.892 0.106 0.613

***

(14)
Here is a geometry-optimized AgTe2 structure from Alexandria via LeMat-Bulk. Energies are from PBE-GGA.

Electronic total energy, eV for the cell shown: -25.47
D(E_F), states/eV per atom: 0.5585
Total magnetization, μB/f.u.: 0.00

a = 8.147 Å, b = 8.147 Å, c = 4.104 Å
α = 90.00°, β = 90.00°, γ = 120.00°
Positions (direct):
Ag: 0.667 0.333 0.000
Ag: 0.333 0.667 0.000
Ag: 0.000 0.000 0.500
Te: 0.000 0.716 0.000
Te: 0.284 0.284 0.000
Te: 0.716 0.000 0.000
Te: 0.000 0.406 0.500
Te: 0.594 0.594 0.500
Te: 0.406 0.000 0.500

***

(15)
Here is a geometry-optimized Tb3CCl5 structure from Alexandria via LeMat-Bulk. Energies are from PBE-GGA.

Electronic total energy, eV for the cell shown: -91.36
D(E_F), states/eV per atom: 0.1661
Total magnetization, μB/f.u.: 0.00

a = 7.777 Å, b = 7.777 Å, c = 8.958 Å
α = 74.94°, β = 74.94°, γ = 71.51°
Positions (direct):
Tb: 0.660 0.660 0.834
Tb: 0.760 0.760 0.365
Tb: 0.000 0.000 0.000
Tb: 0.000 0.000 0.500
Tb: 0.340 0.340 0.166
Tb: 0.240 0.240 0.635
C: 0.062 0.062 0.721
C: 0.938 0.938 0.279
Cl: 0.004 0.384 0.356
Cl: 0.310 0.690 0.000
Cl: 0.762 0.762 0.058
Cl: 0.443 0.443 0.365
Cl: 0.557 0.557 0.635
Cl: 0.238 0.238 0.942
Cl: 0.384 0.004 0.356
Cl: 0.690 0.310 0.000
Cl: 0.996 0.616 0.644
Cl: 0.616 0.996 0.644

***

(16)
Here is a geometry-optimized BeReF3 structure from Alexandria via LeMat-Bulk. Energies are from PBE-GGA.

Electronic total energy, eV for the cell shown: -25.46
D(E_F), states/eV per atom: 0.4153
Total magnetization, μB/f.u.: 5.00
Distance to the lowest polymorph of the same formula, eV/atom: 0.000

a = 3.838 Å, b = 3.838 Å, c = 3.838 Å
α = 90.00°, β = 90.00°, γ = 90.00°
Last column: magnetic moment on the atom in μB.
Positions (direct):
Re: 0.500 0.500 0.500  4.02
Be: 0.000 0.000 0.000  -0.01
F: 0.000 0.500 0.000  0.11
F: 0.000 0.000 0.500  0.09
F: 0.500 0.000 0.000  0.07

***

(17)
Here is a geometry-optimized Li2UN2 structure from Alexandria via LeMat-Bulk. Energies are from PBE-GGA.

Electronic total energy, eV for the cell shown: -36.38
D(E_F), states/eV per atom: 0.4151
Total magnetization, μB/f.u.: 2.00

a = 3.490 Å, b = 3.490 Å, c = 5.548 Å
α = 90.00°, β = 90.00°, γ = 120.00°
Last column: magnetic moment on the atom in μB.
Positions (direct):
Li: 0.333 0.667 0.606  0.01
Li: 0.667 0.333 0.394  0.01
U: 0.000 0.000 0.000  1.90
N: 0.333 0.667 0.225  -0.07
N: 0.667 0.333 0.775  -0.07

***

(18)
Here is a geometry-optimized CaGaHF2 structure from Alexandria via LeMat-Bulk. Energies are from PBE-GGA.

Electronic total energy, eV for the cell shown: -20.05
D(E_F), states/eV per atom: 0.0326
Total magnetization, μB/f.u.: 0.00

a = 4.236 Å, b = 8.481 Å, c = 4.236 Å
α = 90.00°, β = 90.00°, γ = 90.00°
Positions (direct):
H: 0.500 0.500 0.500
Ca: 0.000 0.000 0.000
Ga: 0.000 0.500 0.000
F: 0.000 0.000 0.500
F: 0.500 0.000 0.000

***

(19)
Here is a geometry-optimized ZnFe4Ni7 structure from Alexandria via LeMat-Bulk. Energies are from PBE-GGA.

Electronic total energy, eV for the cell shown: -76.22
ΔE_f, eV/atom: -0.052
D(E_F), states/eV per atom: 0.8767
Total magnetization, μB/f.u.: 14.58
Distance to the lowest polymorph of the same formula, eV/atom: 0.000

a = 5.045 Å, b = 7.532 Å, c = 4.378 Å
α = 73.72°, β = 90.25°, γ = 60.42°
Last column: magnetic moment on the atom in μB.
Positions (direct):
Zn: 0.000 0.000 0.000  -0.04
Fe: 0.499 0.336 0.666  2.65
Fe: 0.501 0.664 0.334  2.65
Fe: 0.753 0.671 0.826  2.70
Fe: 0.247 0.329 0.174  2.70
Ni: 0.744 0.002 0.501  0.55
Ni: 0.256 0.998 0.499  0.55
Ni: 0.003 0.661 0.334  0.65
Ni: 0.997 0.339 0.666  0.65
Ni: 0.256 0.660 0.832  0.64
Ni: 0.500 0.000 0.000  0.59
Ni: 0.744 0.340 0.168  0.64

***

(20)
Here is a geometry-optimized Nd2TaWN6 structure from Alexandria via LeMat-Bulk. Energies are from PBE-GGA.

Electronic total energy, eV for the cell shown: -188.00
D(E_F), states/eV per atom: 0.7165
Total magnetization, μB/f.u.: 0.60

a = 5.664 Å, b = 5.718 Å, c = 8.017 Å
α = 90.00°, β = 90.15°, γ = 90.00°
Last column: magnetic moment on the atom in μB.
Positions (direct):
Nd: 0.008 0.960 0.250  0.00
Nd: 0.508 0.540 0.750  0.00
Nd: 0.992 0.040 0.750  0.00
Nd: 0.492 0.460 0.250  0.00
Ta: 0.500 0.000 0.000  -0.02
Ta: 0.000 0.500 0.500  -0.02
W: 0.500 0.000 0.500  -0.04
W: 0.000 0.500 0.000  -0.04
N: 0.280 0.713 0.040  0.07
N: 0.780 0.787 0.540  0.07
N: 0.720 0.287 0.960  0.07
N: 0.220 0.213 0.460  0.07
N: 0.287 0.719 0.459  0.08
N: 0.787 0.781 0.959  0.08
N: 0.713 0.281 0.541  0.08
N: 0.213 0.219 0.041  0.08
N: 0.924 0.515 0.246  0.09
N: 0.424 0.985 0.746  0.09
N: 0.076 0.485 0.754  0.09
N: 0.576 0.015 0.254  0.09